No. 1
This record from the Alexandria database describes a relaxed structure of NaPrFeO4. The functional is GGA+U.

Structure (POSCAR):
```
NaPrFeO4
1.0
-1.113 -2.434 -2.761
2.917 1.177 -2.213
2.619 -3.659 4.848
O Na Fe Pr
4 1 1 1
Direct
0.839 0.839 0.677
0.992 0.492 0.984
0.165 0.165 0.331
0.492 0.992 0.984
0.645 0.645 0.289
0.011 0.011 0.021
0.356 0.356 0.713
```

Computed properties:
Electronic total energy = -45.8 eV for the cell shown
Total magnetization = 4.00 μB per formula unit

No. 2
This record from the Alexandria database describes a relaxed structure of CoHF2. The functional is GGA+U.

Structure (POSCAR):
```
CoHF2
1.0
-1.125 -2.256 -2.672
-3.581 -0.704 -0.423
-1.806 1.347 -2.902
H F Co
1 2 1
Direct
0.000 0.000 0.000
0.750 0.750 0.750
0.250 0.250 0.250
0.500 0.500 0.500
```

Computed properties:
Electronic total energy = -15.5 eV for the cell shown
Energy above the most stable polymorph in this dataset = 155 kJ/mol of formula units
Total magnetization = 4.00 μB per formula unit

Which formula does entry 2 have? CoHF2